1.
Tb12Nd3Th5 | PBE | optimized geometry

Summary:
DFT formation energy   1209 meV per atom
Raw total energy   -4.139 eV/atom
Density of states at the Fermi level   43.34 states/eV/f.u.
Spin magnetization   0.3122 μB/atom

a b c (Å): 16.154 16.154 16.154
angles (deg): 109.47 109.47 109.47
Fractional positions:
Th 0.500 0.000 0.000
Tb 0.341 0.769 0.405
Tb 0.095 0.936 0.364
Tb 0.231 0.659 0.095
Tb 0.659 0.428 0.564
Th 0.125 0.375 0.250
Th 0.000 0.500 0.500
Th 0.500 0.500 0.000
Tb 0.159 0.095 0.731
Tb 0.769 0.341 0.905
Nd 0.125 0.250 0.875
Tb 0.064 0.159 0.428
Th 0.875 0.625 0.750
Tb 0.428 0.769 0.864
Tb 0.636 0.072 0.231
Tb 0.436 0.072 0.341
Tb 0.928 0.364 0.269
Tb 0.595 0.864 0.436
Tb 0.595 0.731 0.659
Th 0.625 0.875 0.250
Tb 0.905 0.841 0.769
Tb 0.428 0.659 0.064
Tb 0.864 0.595 0.936
Th 0.375 0.250 0.125
Th 0.750 0.125 0.875
Tb 0.564 0.636 0.405
Th 0.500 0.500 0.500
Nd 0.625 0.375 0.750
Tb 0.341 0.572 0.436
Nd 0.250 0.125 0.375
Th 0.875 0.250 0.625
Tb 0.136 0.731 0.572
Tb 0.905 0.064 0.636
Tb 0.659 0.231 0.595
Tb 0.841 0.936 0.072
Tb 0.841 0.905 0.269
Tb 0.095 0.159 0.231
Tb 0.364 0.928 0.769
Tb 0.064 0.905 0.136
Tb 0.864 0.269 0.428
Tb 0.136 0.405 0.064
Tb 0.072 0.436 0.841
Nd 0.125 0.875 0.750
Tb 0.769 0.428 0.364
Th 0.000 0.000 0.000
Th 0.250 0.375 0.625
Tb 0.731 0.595 0.159
Nd 0.875 0.750 0.125
Tb 0.364 0.436 0.095
Tb 0.072 0.636 0.731
Tb 0.159 0.064 0.928
Nd 0.375 0.750 0.625
Tb 0.731 0.136 0.072
Tb 0.231 0.572 0.636
Tb 0.405 0.136 0.564
Tb 0.564 0.928 0.659
Th 0.625 0.750 0.875
Tb 0.936 0.841 0.572
Th 0.250 0.875 0.125
Th 0.000 0.000 0.500
Tb 0.636 0.564 0.905
Nd 0.875 0.125 0.250
Tb 0.928 0.564 0.159
Nd 0.250 0.625 0.875
Tb 0.436 0.364 0.595
Nd 0.375 0.625 0.250
Tb 0.269 0.864 0.928
Tb 0.405 0.269 0.341
Nd 0.625 0.250 0.375
Tb 0.572 0.341 0.936
Th 0.500 0.000 0.500
Th 0.000 0.500 0.000
Tb 0.269 0.405 0.841
Nd 0.750 0.875 0.625
Th 0.750 0.625 0.375
Nd 0.750 0.375 0.125
Tb 0.936 0.095 0.864
Th 0.125 0.750 0.375
Th 0.375 0.125 0.750
Tb 0.572 0.231 0.136

***

2.
Tb6NdTh4 | PBE | optimized geometry

Summary:
DFT formation energy   174 meV per atom
Raw total energy   -5.483 eV/atom
Density of states at the Fermi level   16.51 states/eV/f.u.
Spin magnetization   0.0000 μB/atom

a b c (Å): 3.449 5.905 18.211
angles (deg): 99.33 95.43 90.00
Fractional positions:
Tb 0.403 0.903 0.806
Tb 0.233 0.733 0.465
Th 0.456 0.456 0.911
Tb 0.767 0.267 0.535
Nd 0.000 0.000 0.000
Tb 0.132 0.632 0.263
Th 0.183 0.183 0.365
Th 0.817 0.817 0.635
Tb 0.868 0.368 0.737
Th 0.544 0.544 0.089
Tb 0.597 0.097 0.194

***

3.
Tb4NdTh | PBE | optimized geometry

Summary:
DFT formation energy   24 meV per atom
Raw total energy   -5.094 eV/atom
Density of states at the Fermi level   8.21 states/eV/f.u.
Energy above the lowest structure with this stoichiometry   0.0 meV per atom
Spin magnetization   0.0000 μB/atom

a b c (Å): 3.578 9.500 11.874
angles (deg): 148.69 90.12 100.85
Fractional positions:
Nd 0.500 0.000 0.500
Tb 0.662 0.323 0.996
Th 0.000 0.000 0.000
Tb 0.338 0.677 0.004
Tb 0.828 0.655 0.494
Tb 0.172 0.345 0.506

***

4.
Tb6Nd3Th2 | PBE | optimized geometry

Summary:
DFT formation energy   15 meV per atom
Raw total energy   -5.160 eV/atom
Density of states at the Fermi level   14.73 states/eV/f.u.
Spin magnetization   0.0000 μB/atom

a b c (Å): 3.603 3.603 32.182
angles (deg): 86.79 86.79 60.00
Fractional positions:
Tb 0.908 0.908 0.277
Tb 0.818 0.818 0.547
Th 0.545 0.545 0.365
Nd 0.272 0.272 0.183
Tb 0.182 0.182 0.453
Nd 0.728 0.728 0.817
Nd 0.000 0.000 0.000
Tb 0.636 0.636 0.092
Tb 0.364 0.364 0.908
Th 0.455 0.455 0.635
Tb 0.092 0.092 0.723

***

5.
Tb3Nd8Th2 | PBE | optimized geometry

Summary:
DFT formation energy   127 meV per atom
Raw total energy   -5.017 eV/atom
Density of states at the Fermi level   19.35 states/eV/f.u.
Spin magnetization   0.0000 μB/atom

a b c (Å): 12.092 5.775 18.608
angles (deg): 81.14 95.85 135.79
Fractional positions:
Nd 0.765 0.134 0.025
Tb 0.000 0.000 0.000
Th 0.944 0.593 0.648
Nd 0.484 0.079 0.290
Th 0.398 0.651 0.895
Nd 0.839 0.550 0.414
Nd 0.161 0.450 0.586
Tb 0.268 0.262 0.273
Nd 0.867 0.382 0.842
Th 0.602 0.349 0.105
Nd 0.516 0.921 0.710
Nd 0.627 0.484 0.914
Nd 0.096 0.259 0.776
Nd 0.791 0.918 0.536
Th 0.056 0.407 0.352
Tb 0.732 0.738 0.727
Tb 0.688 0.924 0.213
Tb 0.312 0.076 0.787
Nd 0.403 0.300 0.612
Nd 0.597 0.700 0.388
Tb 0.500 0.000 0.500
Nd 0.133 0.618 0.158
Nd 0.235 0.866 0.975
Nd 0.904 0.741 0.224
Nd 0.209 0.082 0.464
Nd 0.373 0.516 0.086

***

6.
Tb2Nd4Th3 | PBE | optimized geometry

Summary:
DFT formation energy   88 meV per atom
Raw total energy   -5.533 eV/atom
Density of states at the Fermi level   17.99 states/eV/f.u.
Energy above the lowest structure with this stoichiometry   34.8 meV per atom
Spin magnetization   0.0000 μB/atom

a b c (Å): 3.593 3.593 27.157
angles (deg): 90.00 90.00 120.00
Fractional positions:
Nd 0.000 0.000 0.546
Tb 0.667 0.333 0.875
Th 0.000 0.000 0.321
Tb 0.667 0.333 0.088
Th 0.667 0.333 0.655
Nd 0.000 0.000 0.765
Th 0.000 0.000 0.984
Nd 0.667 0.333 0.213
Nd 0.667 0.333 0.430